The following is a DFT calculation (PBE) of a relaxed Li2PmPN crystal. Values from VASP.

Output
**Raw formation energy**: -0.744 eV per atom
**Space-group type**: I4/mcm, No. 140

```
&SYSTEM
  ibrav = 0, nat = 10, ntyp = 4
/
ATOMIC_SPECIES
Li 6.94 Li.upf
Pm 145.00 Pm.upf
P 30.97 P.upf
N 14.01 N.upf
ATOMIC_POSITIONS angstrom
Li 3.985 1.049 0.000
Li 1.049 1.887 0.000
Li 1.887 1.049 4.665
Li -1.049 1.887 4.665
Pm 0.000 0.000 2.333
Pm 0.000 0.000 6.998
P 2.936 0.000 2.333
P 0.000 2.936 2.333
N 0.000 0.000 0.000
N 0.000 0.000 4.665
CELL_PARAMETERS angstrom
-2.936 2.936 4.665
2.936 -2.936 4.665
2.936 2.936 -4.665
```

=====

The following is a DFT calculation (PBE) of a relaxed Ho3Er3Cu4 crystal. Values from VASP.

Output
**Space-group type**: Amm2, No. 38
**Energy of formation**: -0.172 eV/atom

```
&SYSTEM
  ibrav = 0, nat = 10, ntyp = 3
/
ATOMIC_SPECIES
Ho 164.93 Ho.upf
Er 167.26 Er.upf
Cu 63.55 Cu.upf
ATOMIC_POSITIONS angstrom
Ho 0.000 0.000 0.000
Ho 0.000 -1.826 7.342
Ho 0.000 1.826 7.342
Er 0.000 0.000 3.639
Er 1.849 -2.782 4.574
Er 1.849 2.782 4.574
Cu 1.849 -1.364 1.822
Cu 1.849 1.364 1.822
Cu 1.849 0.000 5.979
Cu 1.849 0.000 8.709
CELL_PARAMETERS angstrom
3.699 0.000 0.000
0.000 5.560 5.537
0.000 -5.560 5.537
```

=====

The following is a DFT calculation (PBE) of a relaxed Ac2FeAs crystal. Values from VASP.

Output
**Offset from the most stable computed form**: 485.2 meV per atom
**Space-group type**: R-3m, No. 166
**Energy of formation**: 0.197 eV/atom

```
&SYSTEM
  ibrav = 0, nat = 12, ntyp = 3
/
ATOMIC_SPECIES
Ac 227.00 Ac.upf
Fe 55.84 Fe.upf
As 74.92 As.upf
ATOMIC_POSITIONS angstrom
Ac 0.000 0.000 2.861
Ac 0.000 0.000 25.468
Ac 0.000 2.484 16.025
Ac 0.000 2.484 21.747
Ac 2.152 1.242 6.582
Ac 2.152 1.242 12.304
Fe 0.000 0.000 0.000
Fe 0.000 2.484 18.886
Fe 2.152 1.242 9.443
As 0.000 0.000 14.164
As 0.000 2.484 4.721
As 2.152 1.242 23.607
CELL_PARAMETERS angstrom
4.303 0.000 0.000
-2.152 3.727 0.000
0.000 0.000 28.329
```

=====

Calculated calculated total energy, -5.207, -4.553, -5.136 eV/atom (same order as the records).